A:
A plane-wave DFT calculation with GGA-PBE was carried out for crystalline ZrTlCr2 at its relaxed geometry.

a = 9.315 Å, b = 9.315 Å, c = 9.315 Å
α = 19.68°, β = 19.68°, γ = 19.68°
Atoms (fractional coordinates):
Tl 0.250 0.250 0.250
Cr 0.497 0.497 0.497
Cr 0.003 0.003 0.003
Zr 0.750 0.750 0.750

Output
Density of states at the Fermi level: 3.5 states/eV/cell

---

B:
A plane-wave DFT calculation with GGA-PBE was carried out for crystalline ZrTlCr2 at its relaxed geometry.

a = 5.464 Å, b = 5.464 Å, c = 5.464 Å
α = 145.34°, β = 130.27°, γ = 62.04°
Atoms (fractional coordinates):
Cr 0.221 0.721 0.500
Cr 0.038 0.038 0.000
Zr 0.759 0.259 0.500
Tl 0.481 0.481 0.000

Output
Density of states at the Fermi level: 2.4 states/eV/cell

---

Which is more stable than every other structure shown? B is more stable than every other one.